# 1
KLiSc2Pd | GGA-PBE | relaxed

Cell lengths 5.117, 5.117, 5.497 Å; angles 90.00, 90.00, 90.00 degrees
Space group P4/mmm (No. 123)
Asymmetric unit:
K  0.000  0.000  0.000 x1
Li  0.500  0.500  0.000 x1
Sc  0.000  0.500  0.500 x2
Pd  0.500  0.500  0.500 x1

Formation energy: 5.16 kJ per mole of atoms
Magnetic moment: 0.0 μB/f.u.
DFT total energy: -20.60 eV per formula unit
Density: 2796 kg/m³
Crystal system: tetragonal


# 2
Li6TlAg5 | GGA-PBE | relaxed

Cell lengths 8.035, 13.341, 4.470 Å; angles 90.00, 123.60, 90.00 degrees
Space group C2/m (No. 12)
Asymmetric unit:
Li  0.237  0.000  0.238 x4
Li  0.244  0.170  0.744 x8
Tl  0.000  0.500  0.000 x2
Ag  0.000  0.000  0.500 x2
Ag  0.000  0.169  0.000 x4
Ag  0.000  0.334  0.500 x4

Formation energy: -20.29 kJ per mole of atoms
Magnetic moment: 0.0 μB/f.u.
DFT total energy: -30.63 eV per formula unit
Density: 6535 kg/m³
Crystal system: monoclinic